The following is a PBE calculation of a relaxed HgPtRh crystal, from Alexandria via LeMat-Bulk.

**Distance to the lowest polymorph of the same formula**: 6.43 kcal/mol of atoms
**Energy of formation from the pure elements**: 0.404 eV/atom
**Crystal system**: cubic
**Total DFT energy (no corrections)**: -0.15291 hartree per atom
**D(E_F)**: 15.3 states/eV/cell
**Space group**: F-43m

Cell: 6.2295 6.2295 6.2295 Å, 90.00 90.00 90.00°
With the nearest neighbours (Å) after each atom.
Element x y z (fractional)
Hg 0.0000 0.0000 0.0000  4 Pt 2.70
Hg 0.0000 0.5000 0.5000  4 Pt 2.70
Hg 0.5000 0.0000 0.5000  4 Pt 2.70
Hg 0.5000 0.5000 0.0000  4 Pt 2.70
Pt 0.2500 0.2500 0.2500  4 Hg 2.70, 4 Rh 2.70
Pt 0.2500 0.7500 0.7500  4 Rh 2.70, 4 Hg 2.70
Pt 0.7500 0.2500 0.7500  4 Rh 2.70, 4 Hg 2.70
Pt 0.7500 0.7500 0.2500  4 Rh 2.70, 4 Hg 2.70
Rh 0.0000 0.0000 0.5000  4 Pt 2.70
Rh 0.0000 0.5000 0.0000  4 Pt 2.70
Rh 0.5000 0.0000 0.0000  4 Pt 2.70
Rh 0.5000 0.5000 0.5000  4 Pt 2.70